VASP calculation (PBE) on an optimized crystal structure of Cd12Ga3Bi5.

a = 14.6674 Å, b = 14.6674 Å, c = 14.6674 Å
α = 109.47°, β = 109.47°, γ = 109.47°
Closest atoms and distances in Å follow each position.
Atoms (fractional coordinates):
Ga 0.7500 0.3750 0.1250  4 Cd 2.74
Ga 0.8750 0.7500 0.1250  4 Cd 2.74
Ga 0.3750 0.7500 0.6250  4 Cd 2.74
Ga 0.2500 0.1250 0.3750  4 Cd 2.74
Ga 0.8750 0.1250 0.2500  4 Cd 2.74
Ga 0.3750 0.6250 0.2500  4 Cd 2.74
Ga 0.6250 0.3750 0.7500  4 Cd 2.74
Ga 0.1250 0.8750 0.7500  4 Cd 2.74
Ga 0.7500 0.8750 0.6250  4 Cd 2.74
Ga 0.6250 0.2500 0.3750  4 Cd 2.74
Ga 0.1250 0.2500 0.8750  4 Cd 2.74
Ga 0.2500 0.6250 0.8750  4 Cd 2.74
Bi 0.1250 0.3750 0.2500  4 Cd 2.88
Bi 0.0000 0.5000 0.0000  6 Cd 3.02
Bi 0.0000 0.0000 0.0000  6 Cd 3.02
Bi 0.3750 0.2500 0.1250  4 Cd 2.88
Bi 0.5000 0.0000 0.5000  6 Cd 3.02
Bi 0.5000 0.5000 0.0000  6 Cd 3.02
Bi 0.1250 0.7500 0.3750  4 Cd 2.88
Bi 0.7500 0.1250 0.8750  4 Cd 2.88
Bi 0.7500 0.6250 0.3750  4 Cd 2.88
Bi 0.3750 0.1250 0.7500  4 Cd 2.88
Bi 0.6250 0.8750 0.2500  4 Cd 2.88
Bi 0.5000 0.5000 0.5000  6 Cd 3.02
Bi 0.5000 0.0000 0.0000  6 Cd 3.02
Bi 0.0000 0.0000 0.5000  6 Cd 3.02
Bi 0.2500 0.3750 0.6250  4 Cd 2.88
Bi 0.2500 0.8750 0.1250  4 Cd 2.88
Bi 0.0000 0.5000 0.5000  6 Cd 3.02
Bi 0.8750 0.2500 0.6250  4 Cd 2.88
Bi 0.6250 0.7500 0.8750  4 Cd 2.88
Bi 0.8750 0.6250 0.7500  4 Cd 2.88
Cd 0.7431 0.1298 0.0706  1 Ga 2.74, 2 Bi 2.88-3.02
Cd 0.3275 0.5706 0.4408  1 Ga 2.74, 2 Bi 2.88-3.02
Cd 0.9294 0.3702 0.2569  1 Ga 2.74, 2 Bi 2.88-3.02
Cd 0.5706 0.2431 0.1298  1 Ga 2.74, 2 Bi 2.88-3.02
Cd 0.6133 0.7431 0.6725  1 Ga 2.74, 2 Bi 2.88-3.02
Cd 0.9294 0.5592 0.1725  1 Ga 2.74, 2 Bi 2.88-3.02
Cd 0.3275 0.7569 0.3867  1 Ga 2.74, 2 Bi 2.88-3.02
Cd 0.0592 0.8867 0.1298  1 Ga 2.74, 2 Bi 2.88-3.02
Cd 0.5592 0.9294 0.6725  1 Ga 2.74, 2 Bi 2.88-3.02
Cd 0.7431 0.6133 0.1725  1 Ga 2.74, 2 Bi 2.88-3.02
Cd 0.7569 0.4294 0.3702  1 Ga 2.74, 2 Bi 2.88-3.02
Cd 0.8275 0.9408 0.0706  1 Ga 2.74, 2 Bi 2.88-3.02
Cd 0.1298 0.7431 0.5706  1 Ga 2.74, 2 Bi 2.88-3.02
Cd 0.3702 0.4408 0.1133  1 Ga 2.74, 2 Bi 2.88-3.02
Cd 0.1133 0.9408 0.3702  1 Ga 2.74, 2 Bi 2.88-3.02
Cd 0.3867 0.1298 0.5592  1 Ga 2.74, 2 Bi 2.88-3.02
Cd 0.1133 0.1725 0.2431  1 Ga 2.74, 2 Bi 2.88-3.02
Cd 0.4294 0.6725 0.0592  1 Ga 2.74, 2 Bi 2.88-3.02
Cd 0.8275 0.8867 0.2569  1 Ga 2.74, 2 Bi 2.88-3.02
Cd 0.1298 0.3867 0.0592  1 Ga 2.74, 2 Bi 2.88-3.02
Cd 0.3702 0.9294 0.7569  1 Ga 2.74, 2 Bi 2.88-3.02
Cd 0.5592 0.6298 0.3867  1 Ga 2.74, 2 Bi 2.88-3.02
Cd 0.9408 0.8275 0.5706  1 Ga 2.74, 2 Bi 2.88-3.02
Cd 0.7569 0.3275 0.8867  1 Ga 2.74, 2 Bi 2.88-3.02
Cd 0.4408 0.3702 0.6133  1 Ga 2.74, 2 Bi 2.88-3.02
Cd 0.0592 0.1725 0.4294  1 Ga 2.74, 2 Bi 2.88-3.02
Cd 0.2431 0.6725 0.1133  1 Ga 2.74, 2 Bi 2.88-3.02
Cd 0.1725 0.1133 0.7431  1 Ga 2.74, 2 Bi 2.88-3.02
Cd 0.6298 0.0706 0.2431  1 Ga 2.74, 2 Bi 2.88-3.02
Cd 0.8702 0.6133 0.9408  1 Ga 2.74, 2 Bi 2.88-3.02
Cd 0.5706 0.3275 0.9408  1 Ga 2.74, 2 Bi 2.88-3.02
Cd 0.6133 0.8702 0.4408  1 Ga 2.74, 2 Bi 2.88-3.02
Cd 0.8867 0.8275 0.7569  1 Ga 2.74, 2 Bi 2.88-3.02
Cd 0.8867 0.0592 0.6298  1 Ga 2.74, 2 Bi 2.88-3.02
Cd 0.8702 0.2569 0.4294  1 Ga 2.74, 2 Bi 2.88-3.02
Cd 0.1725 0.0592 0.9294  1 Ga 2.74, 2 Bi 2.88-3.02
Cd 0.6298 0.5592 0.8867  1 Ga 2.74, 2 Bi 2.88-3.02
Cd 0.4408 0.0706 0.3275  1 Ga 2.74, 2 Bi 2.88-3.02
Cd 0.2569 0.3867 0.8275  1 Ga 2.74, 2 Bi 2.88-3.02
Cd 0.2431 0.5706 0.6298  1 Ga 2.74, 2 Bi 2.88-3.02
Cd 0.9408 0.1133 0.8702  1 Ga 2.74, 2 Bi 2.88-3.02
Cd 0.6725 0.2431 0.6133  1 Ga 2.74, 2 Bi 2.88-3.02
Cd 0.4294 0.7569 0.8702  1 Ga 2.74, 2 Bi 2.88-3.02
Cd 0.0706 0.4408 0.8275  1 Ga 2.74, 2 Bi 2.88-3.02
Cd 0.3867 0.2569 0.3275  1 Ga 2.74, 2 Bi 2.88-3.02
Cd 0.0706 0.6298 0.7431  1 Ga 2.74, 2 Bi 2.88-3.02
Cd 0.6725 0.4294 0.5592  1 Ga 2.74, 2 Bi 2.88-3.02
Cd 0.2569 0.8702 0.9294  1 Ga 2.74, 2 Bi 2.88-3.02

Energy relative to the elements   0.132 eV/atom
Volume   2429.1 Å³/cell

=====

VASP calculation (PBE) on an optimized crystal structure of CdGaGeBi.

a = 5.1647 Å, b = 5.1647 Å, c = 5.1647 Å
α = 60.00°, β = 60.00°, γ = 60.00°
Closest atoms and distances in Å follow each position.
Atoms (fractional coordinates):
Ge 0.2500 0.2500 0.2500  4 Cd 3.16, 4 Bi 3.16
Bi 0.5000 0.5000 0.5000  4 Ge 3.16, 4 Ga 3.16
Ga 0.7500 0.7500 0.7500  4 Cd 3.16, 4 Bi 3.16
Cd 0.0000 0.0000 0.0000  4 Ga 3.16, 4 Ge 3.16

Energy relative to the elements   0.215 eV/atom
Volume   97.4 Å³/cell

=====

VASP calculation (PBE) on an optimized crystal structure of CdGaHgBi.

a = 5.2627 Å, b = 5.2627 Å, c = 5.2627 Å
α = 60.00°, β = 60.00°, γ = 60.00°
Closest atoms and distances in Å follow each position.
Atoms (fractional coordinates):
Cd 0.7500 0.7500 0.7500  4 Hg 3.22, 4 Bi 3.22
Bi 0.0000 0.0000 0.0000  4 Cd 3.22, 4 Ga 3.22
Ga 0.2500 0.2500 0.2500  4 Hg 3.22, 4 Bi 3.22
Hg 0.5000 0.5000 0.5000  4 Cd 3.22, 4 Ga 3.22

Energy relative to the elements   0.039 eV/atom
Volume   103.1 Å³/cell

=====

VASP calculation (PBE) on an optimized crystal structure of CdIn2GaBi.

a = 4.0693 Å, b = 4.0693 Å, c = 15.9973 Å
α = 90.00°, β = 90.00°, γ = 90.00°
Closest atoms and distances in Å follow each position.
Atoms (fractional coordinates):
Cd 0.5000 0.0000 0.0514  6 In 3.06-3.20, 4 Cd 3.31
Cd 0.0000 0.5000 0.9486  6 In 3.06-3.20, 4 Cd 3.31
In 0.0000 0.5000 0.7512  1 Cd 3.16, 4 Bi 3.28, 4 In 3.37
In 0.0000 0.5000 0.1395  5 Cd 3.06-3.20, 1 Bi 3.33, 4 In 3.37
In 0.5000 0.0000 0.8605  5 Cd 3.06-3.20, 1 Bi 3.33, 4 In 3.37
In 0.5000 0.0000 0.2488  1 Cd 3.16, 4 Bi 3.28, 4 In 3.37
Ga 0.0000 0.0000 0.5000  4 Ga 2.88, 4 Bi 3.18
Ga 0.5000 0.5000 0.5000  4 Ga 2.88, 4 Bi 3.18
Bi 0.5000 0.0000 0.6525  4 Ga 3.18, 5 In 3.28-3.33
Bi 0.0000 0.5000 0.3475  4 Ga 3.18, 5 In 3.28-3.33

Energy relative to the elements   0.074 eV/atom
Volume   264.9 Å³/cell